1.
5
Lattice="4.042 0.000 0.000 0.000 3.931 0.000 0.000 0.000 4.042" Properties=species:S:1:pos:R:3 comment="PBE NbCr2InH, relaxed" final_energy_ev_per_atom=-6.850 sg="P4/mmm, No. 123" pbc="T T T"
Cr 0.000 0.000 2.021
Cr 2.021 0.000 0.000
Nb 0.000 1.965 0.000
In 2.021 1.965 2.021
H 0.000 0.000 0.000


2.
5
Lattice="3.885 0.000 0.000 0.000 4.908 0.000 0.000 0.000 3.885" Properties=species:S:1:pos:R:3 comment="PBE NbCrInH2, relaxed" final_energy_ev_per_atom=-5.039 sg="P4/mmm, No. 123" pbc="T T T"
In 1.942 2.454 1.942
H 0.000 0.000 1.942
H 1.942 0.000 0.000
Cr 0.000 0.000 0.000
Nb 0.000 2.454 0.000


3.
5
Lattice="4.125 0.000 0.000 0.000 4.125 0.000 0.000 0.000 4.256" Properties=species:S:1:pos:R:3 comment="PBE Nb2CrInH, relaxed" final_energy_ev_per_atom=-7.116 sg="P4/mmm, No. 123" pbc="T T T"
H 0.000 0.000 0.000
Cr 0.000 0.000 2.128
Nb 2.062 0.000 0.000
Nb 0.000 2.062 0.000
In 2.062 2.062 2.128


4.
5
Lattice="3.791 0.000 0.000 0.000 4.129 0.000 0.000 0.000 3.791" Properties=species:S:1:pos:R:3 comment="PBE CrInNi2H, relaxed" e_above_lowest_polymorph_ev_per_atom=0.267 sg="P4/mmm, No. 123" pbc="T T T"
Ni 0.000 0.000 1.895
Ni 1.895 0.000 0.000
H 0.000 0.000 0.000
In 0.000 2.064 0.000
Cr 1.895 2.064 1.895


| no. | M_tot (μB per formula unit) |
| --- | --- |
| 1 | 0.0 |
| 2 | 1.6 |
| 3 | 1.7 |
| 4 | 4.0 |